A geometry-optimized LaPaSbAu structure, computed with GGA-PBE.

Lattice parameters (Å, degrees): 5.359 5.359 5.359 60.00 60.00 60.00
Element x y z (fractional)
Sb (0.500, 0.500, 0.500)
Pa (0.250, 0.250, 0.250)
Au (0.000, 0.000, 0.000)
La (0.750, 0.750, 0.750)

Computed properties:
As for the total energy: -0.4340 Ry/atom. The formation energy from raw total energies is -1.8 eV/f.u. The space group is F-43m, No. 216.